The following is a DFT calculation (GGA-PBE) of Y3VPt after structural relaxation.

DOS at the Fermi energy (states/eV per cell): 6.38
Density (g cm⁻³): 5.374
Energy relative to the elements (eV per atom): 0.079
ΔE to the lowest computed polymorph (meV/atom): 0
Calculated total energy (hartree per atom): -0.251

Cell and atoms, written as POSCAR:
```
Y3VPt
1.0
5.411 0.000 0.000
0.000 5.411 0.000
0.000 0.000 5.411
Y V Pt
3 1 1
direct
0.000 0.000 0.500 Y
0.000 0.500 0.000 Y
0.500 0.000 0.000 Y
0.500 0.500 0.500 V
0.000 0.000 0.000 Pt
```